This record from Alexandria via LeMat-Bulk describes a relaxed structure of SrEuDyWO6. The functional is PBE+U.

Unit cell a=8.3934 b=8.3934 c=8.3934 alpha=90.00 beta=90.00 gamma=90.00
Space group F-43m (No. 216)
Symmetry-distinct sites (fractional):
Sr (0.0000, 0.0000, 0.0000)
Eu (0.0000, 0.0000, 0.5000)
Dy (0.2500, 0.2500, 0.2500)
W (0.2500, 0.2500, 0.7500)
O (0.0130, 0.2500, 0.7500)

## Properties
final energy	-8.07	eV per atom
calculated volume	14.8	A^3/atom
crystal system	cubic